# GGA+U KWN2O, relaxed
data_KWN2O
_space_group_name_H-M_alt 'P 4/m m m'
_space_group_IT_number 123
_space_group_name_Hall '-P 4 2'
_cell_length_a 4.253
_cell_length_b 4.253
_cell_length_c 4.356
_cell_angle_alpha 90.00
_cell_angle_beta 90.00
_cell_angle_gamma 90.00
loop_
_atom_site_label
_atom_site_type_symbol
_atom_site_fract_x
_atom_site_fract_y
_atom_site_fract_z
K1 K 0.000 0.000 0.000
W1 W 0.500 0.500 0.500
N1 N 0.000 0.500 0.000
O1 O 0.000 0.000 0.500
# Spin magnetization ... 0.201 μB/atom
# DFT total energy ... -0.2511 Ry/atom
# Theoretical density ... 5.6 g/cm3
# Calculated volume ... 78.8 Å³ per cell